First-principles (PBE-GGA) data for an optimized crystal structure of InAgSN2, as listed in the Alexandria database.

```
InAgSN2
1.0
4.239 0.000 0.000
0.000 4.239 0.000
0.000 0.000 5.436
In S N Ag
1 1 2 1
Direct
0.000 0.000 0.000
0.000 0.000 0.500
0.000 0.500 0.000
0.500 0.000 0.000
0.500 0.500 0.500
```

As for the symmetry: No. 123. As for the total magnetization: 3.87 μB/f.u. The value obtained for the energy is -3.83 eV per atom. The calculation puts the formation energy from raw total energies at 1441 meV per atom. Its excess energy over the best structure of this formula in the dataset is 0 meV/atom.

***

First-principles (PBE-GGA) data for an optimized crystal structure of SmYSbSe, as listed in the Alexandria database.

```
SmYSbSe
1.0
4.311 0.000 0.000
0.000 4.304 0.257
0.000 -0.362 6.035
Sb Y Sm Se
1 1 1 1
Direct
0.500 0.392 0.593
0.500 0.392 0.093
0.000 0.892 0.592
0.000 0.891 0.092
```

As for the symmetry: No. 123. As for the total magnetization: 0.00 μB/f.u. The value obtained for the energy is -6.16 eV per atom. The calculation puts the formation energy from raw total energies at -1462 meV per atom.